Record 1
{"formula": "Ba3Cd2Hg2Sb4", "functional": "PBE", "state": "optimized geometry", "lattice_angstrom": [[-2.531, 2.531, 14.358], [2.531, -2.531, 14.358], [2.531, 2.531, -14.358]], "species": ["Ba", "Ba", "Ba", "Cd", "Cd", "Hg", "Hg", "Sb", "Sb", "Sb", "Sb"], "frac_coords": [[0.000, 0.000, 0.000], [0.192, 0.192, 0.000], [0.808, 0.808, 0.000], [0.453, 0.453, 0.000], [0.547, 0.547, 0.000], [0.318, 0.318, 0.000], [0.682, 0.682, 0.000], [0.104, 0.604, 0.500], [0.396, 0.896, 0.500], [0.604, 0.104, 0.500], [0.896, 0.396, 0.500]], "formation_energy_uncorrected_ev_per_atom": -0.496, "crystal_system": "tetragonal", "space_group": "I4/mmm, No. 139"}

---

Record 2
{"formula": "CsOsPt2", "functional": "PBE", "state": "optimized geometry", "lattice_angstrom": [[0.000, 3.445, 3.445], [3.445, 0.000, 3.445], [3.445, 3.445, 0.000]], "species": ["Cs", "Os", "Pt", "Pt"], "frac_coords": [[0.000, 0.000, 0.000], [0.500, 0.500, 0.500], [0.250, 0.250, 0.250], [0.750, 0.750, 0.750]], "crystal_system": "cubic", "delta_e_f_kj_per_mol_atoms": 145.7, "space_group": "Fm-3m, No. 225", "e_above_lowest_polymorph_mev_per_atom": 729}

---

Record 3
{"formula": "MnHRuAu", "functional": "PBE", "state": "optimized geometry", "lattice_angstrom": [[1.486, 0.858, 6.454], [-1.486, 0.858, 6.454], [0.000, -1.716, 6.454]], "species": ["Mn", "H", "Ru", "Au"], "frac_coords": [[0.000, 0.000, 0.000], [0.598, 0.598, 0.598], [0.231, 0.231, 0.231], [0.777, 0.777, 0.777]], "crystal_system": "trigonal", "space_group": "R3m, No. 160", "e_above_lowest_polymorph_mev_per_atom": 6}

---

DOS(E_F) in states/eV per atom, matching the order above: 0.388, 0.975, 0.535